Entry 1:
The following is a GGA-PBE calculation of a relaxed structure of Na4InBi3, from the Alexandria database.

Output
The calculation puts the volume at 247 Å³/f.u. The value obtained for the calculated formation energy is -0.243 eV per atom.

abc: 12.642 12.642 6.194
angles: 90.00 90.00 90.00
Space group I4/mcm (No. 140)
Inequivalent atoms, fractional coordinates:
Na 0.080 0.223 0.000
In 0.000 0.500 0.250
Bi 0.000 0.000 0.250
Bi 0.151 0.349 0.500

***

Entry 2:
The following is a GGA-PBE calculation of a relaxed structure of Nb2In2Te, from the Alexandria database.

Output
The calculation puts the volume at 112 Å³/f.u. As for the uncorrected formation energy: 0.095 eV/atom.

abc: 7.244 7.244 4.265
angles: 90.00 90.00 90.00
Space group P4/mbm (No. 127)
Inequivalent atoms, fractional coordinates:
Nb 0.133 0.367 0.000
In 0.162 0.662 0.500
Te 0.000 0.000 0.000

***

Entry 3:
The following is a GGA-PBE calculation of a relaxed structure of La4ThZn5, from the Alexandria database.

Output
The calculation puts the volume at 262 Å³/f.u. The value obtained for the calculated formation energy is -0.282 eV per atom.

abc: 3.747 3.747 18.653
angles: 90.00 90.00 90.00
Space group P4/mmm (No. 123)
Inequivalent atoms, fractional coordinates:
La 0.000 0.000 0.101
La 0.000 0.000 0.304
Th 0.000 0.000 0.500
Zn 0.500 0.500 0.000
Zn 0.500 0.500 0.201
Zn 0.500 0.500 0.406

***

Entry 4:
The following is a GGA-PBE calculation of a relaxed structure of SiSb2SeI, from the Alexandria database.

Output
The calculation puts the volume at 167 Å³/f.u. For the energy relative to the lowest polymorph listed for this composition, the calculation gives 0.317 eV/atom. As for the uncorrected formation energy: 0.985 eV/atom.

abc: 5.432 5.432 5.672
angles: 90.00 90.00 90.00
Space group P4/mmm (No. 123)
Inequivalent atoms, fractional coordinates:
Si 0.000 0.000 0.000
Sb 0.000 0.500 0.500
Se 0.500 0.500 0.500
I 0.500 0.500 0.000

***

Entry 5:
The following is a GGA-PBE calculation of a relaxed structure of La2TlCd, from the Alexandria database.

Output
The calculation puts the volume at 129 Å³/f.u. For the energy relative to the lowest polymorph listed for this composition, the calculation gives 0.314 eV/atom. The value obtained for the calculated formation energy is -0.072 eV per atom.

abc: 3.7534 3.7534 31.7966
angles: 90.00 90.00 120.00
Space group R3m (No. 160, hexagonal axes)
Inequivalent atoms, fractional coordinates:
La 0.0000 0.0000 0.0000
La 0.0000 0.0000 0.2428
Tl 0.0000 0.0000 0.4898
Cd 0.0000 0.0000 0.7494

***

Entry 6:
The following is a GGA-PBE calculation of a relaxed structure of Cd2SbAu, from the Alexandria database.

Output
The calculation puts the volume at 90 Å³/f.u. As for the uncorrected formation energy: 0.026 eV/atom.

abc: 4.479 4.479 4.482
angles: 90.00 90.00 90.00
Space group P4/mmm (No. 123)
Inequivalent atoms, fractional coordinates:
Cd 0.000 0.500 0.000
Sb 0.000 0.000 0.500
Au 0.500 0.500 0.500

***

Entry 7:
The following is a GGA-PBE calculation of a relaxed structure of Nd2TlNi, from the Alexandria database.

Output
The calculation puts the volume at 133 Å³/f.u. For the energy relative to the lowest polymorph listed for this composition, the calculation gives 0.258 eV/atom. The value obtained for the calculated formation energy is -0.031 eV per atom.

abc: 3.9756 3.9756 29.1979
angles: 90.00 90.00 120.00
Space group R-3m (No. 166, hexagonal axes)
Inequivalent atoms, fractional coordinates:
Nd 0.0000 0.0000 0.1139
Tl 0.0000 0.0000 0.0000
Ni 0.0000 0.0000 0.5000

***

Entry 8:
The following is a GGA-PBE calculation of a relaxed structure of Zn3ReNi, from the Alexandria database.

Output
The calculation puts the volume at 111 Å³/f.u. For the energy relative to the lowest polymorph listed for this composition, the calculation gives 0.361 eV/atom. The value obtained for the calculated formation energy is 1.369 eV per atom.

abc: 4.803 4.803 4.803
angles: 90.00 90.00 90.00
Space group Pm-3m (No. 221)
Inequivalent atoms, fractional coordinates:
Zn 0.000 0.000 0.500
Re 0.000 0.000 0.000
Ni 0.500 0.500 0.500

***

Entry 9:
The following is a GGA-PBE calculation of a relaxed structure of LiBeHg2, from the Alexandria database.

Output
The calculation puts the volume at 75 Å³/f.u. The value obtained for the calculated formation energy is 0.079 eV per atom.

abc: 3.256 4.562 5.062
angles: 90.00 90.21 90.00
Space group Pm (No. 6)
Inequivalent atoms, fractional coordinates:
Li 0.000 0.000 0.000
Be 0.496 0.500 0.290
Hg 0.497 0.500 0.817
Hg 0.501 0.000 0.454

***

Entry 10:
The following is a GGA-PBE calculation of a relaxed structure of BaScIn, from the Alexandria database.

Output
The calculation puts the volume at 101 Å³/f.u. For the energy relative to the lowest polymorph listed for this composition, the calculation gives 0.387 eV/atom. The value obtained for the calculated formation energy is 0.080 eV per atom.

abc: 3.7531 3.7531 8.2877
angles: 90.00 90.00 120.00
Space group P3m1 (No. 156)
Inequivalent atoms, fractional coordinates:
Ba 0.0000 0.0000 0.0000
Sc 0.3333 0.6667 0.6048
In 0.6667 0.3333 0.3440

***

Entry 11:
The following is a GGA-PBE calculation of a relaxed structure of RuCBr3, from the Alexandria database.

Output
The calculation puts the volume at 128 Å³/f.u. As for the uncorrected formation energy: 1.533 eV/atom.

abc: 5.041 5.041 5.041
angles: 90.00 90.00 90.00
Space group Pm-3m (No. 221)
Inequivalent atoms, fractional coordinates:
Ru 0.000 0.000 0.000
C 0.500 0.500 0.500
Br 0.000 0.000 0.500

***

Entry 12:
The following is a GGA-PBE calculation of a relaxed structure of Cr4InCo, from the Alexandria database.

Output
The calculation puts the volume at 79 Å³/f.u. The value obtained for the calculated formation energy is 0.371 eV per atom.

abc: 6.798 6.798 6.798
angles: 90.00 90.00 90.00
Space group F-43m (No. 216)
Inequivalent atoms, fractional coordinates:
Cr 0.125 0.125 0.125
In 0.250 0.250 0.750
Co 0.000 0.000 0.500

***

Entry 13:
The following is a GGA-PBE calculation of a relaxed structure of CaTm5As6, from the Alexandria database.

Output
The calculation puts the volume at 290 Å³/f.u. The value obtained for the calculated formation energy is -1.410 eV per atom.

abc: 7.073 12.265 7.097
angles: 90.00 109.43 90.00
Space group C2/m (No. 12)
Inequivalent atoms, fractional coordinates:
Ca 0.000 0.000 0.000
Tm 0.000 0.165 0.500
Tm 0.000 0.333 0.000
Tm 0.000 0.500 0.500
As 0.244 0.500 0.253
As 0.245 0.330 0.746

***

Entry 14:
The following is a GGA-PBE calculation of a relaxed structure of Re4C5, from the Alexandria database.

Output
The calculation puts the volume at 92 Å³/f.u. For the energy relative to the lowest polymorph listed for this composition, the calculation gives 0.000 eV/atom. The value obtained for the calculated formation energy is 1.075 eV per atom.

abc: 5.9017 5.9017 6.1077
angles: 90.00 90.00 120.00
Space group P6_3/mcm (No. 193)
Inequivalent atoms, fractional coordinates:
Re 0.0000 0.0000 0.0000
Re 0.0000 0.3990 0.2500
C 0.0000 0.2532 0.7500
C 0.3333 0.6667 0.0000

***

Entry 15:
The following is a GGA-PBE calculation of a relaxed structure of BiHO2F, from the Alexandria database.

Output
The calculation puts the volume at 79 Å³/f.u. The total energy comes out at -20.4 eV per cell.

abc: 4.205 4.205 4.460
angles: 90.00 90.00 90.00
Space group P4/mmm (No. 123)
Inequivalent atoms, fractional coordinates:
Bi 0.000 0.000 0.000
H 0.500 0.500 0.500
O 0.000 0.500 0.000
F 0.000 0.000 0.500

***

Entry 16:
The following is a GGA-PBE calculation of a relaxed structure of Ag2RuRh, from the Alexandria database.

Output
The calculation puts the volume at 64 Å³/f.u. For the energy relative to the lowest polymorph listed for this composition, the calculation gives 0.256 eV/atom. The value obtained for the calculated formation energy is 0.466 eV per atom.

abc: 2.804 4.685 4.895
angles: 90.00 90.00 90.00
Space group Pmmm (No. 47)
Inequivalent atoms, fractional coordinates:
Ag 0.000 0.000 0.000
Ag 0.500 0.500 0.000
Ru 0.000 0.500 0.500
Rh 0.500 0.000 0.500

***

Entry 17:
The following is a GGA-PBE calculation of a relaxed structure of CoSn2Bi, from the Alexandria database.

Output
The calculation puts the volume at 114 Å³/f.u. The value obtained for the calculated formation energy is 0.347 eV per atom.

abc: 5.386 5.386 15.753
angles: 90.00 90.00 90.00
Space group I-42d (No. 122)
Inequivalent atoms, fractional coordinates:
Co 0.000 0.000 0.000
Sn 0.144 0.250 0.125
Bi 0.000 0.000 0.500

***

Entry 18:
The following is a GGA-PBE calculation of a relaxed structure of CaLaHo2Se4, from the Alexandria database.

Output
The calculation puts the volume at 203 Å³/f.u. As for the uncorrected formation energy: -1.854 eV/atom.

abc: 7.213 4.127 7.215
angles: 90.00 109.07 90.00
Space group P2/m (No. 10)
Inequivalent atoms, fractional coordinates:
Ca 0.000 0.000 0.000
La 0.000 0.500 0.500
Ho 0.500 0.000 0.500
Ho 0.500 0.500 0.000
Se 0.261 0.500 0.248
Se 0.265 0.000 0.762

***

Entry 19:
The following is a GGA-PBE calculation of a relaxed structure of Er2Hf3UN6, from the Alexandria database.

Output
The calculation puts the volume at 154 Å³/f.u. As for the uncorrected formation energy: -1.728 eV/atom.

abc: 14.439 3.286 6.676
angles: 90.00 103.79 90.00
Space group C2/m (No. 12)
Inequivalent atoms, fractional coordinates:
Er 0.168 0.000 0.336
Hf 0.000 0.500 0.500
Hf 0.169 0.000 0.834
U 0.000 0.500 0.000
N 0.004 0.000 0.738
N 0.163 0.500 0.595
N 0.170 0.500 0.073

***

Entry 20:
The following is a GGA-PBE calculation of a relaxed structure of BaPrEu2, from the Alexandria database.

Output
The calculation puts the volume at 178 Å³/f.u. For the energy relative to the lowest polymorph listed for this composition, the calculation gives 0.057 eV/atom. The value obtained for the calculated formation energy is 0.138 eV per atom.

abc: 8.930 8.930 8.930
angles: 90.00 90.00 90.00
Space group Fm-3m (No. 225)
Inequivalent atoms, fractional coordinates:
Ba 0.000 0.000 0.000
Pr 0.000 0.000 0.500
Eu 0.250 0.250 0.250